CoCuSe2Br: optimized geometry, PBE.

Computed properties:
E above lowest polymorph ... 38 meV/atom
E_tot ... -3.470 eV/atom
Formation energy (no corrections) ... 0.50 eV/atom
Space-group type ... No. 123

a = 4.5811 Å, b = 5.2661 Å, c = 4.5811 Å
α = 90.00°, β = 90.00°, γ = 90.00°
Each line ends with the local moment (μB).
Positions (direct):
Co (0.0000, 0.0000, 0.0000)  1.01
Se (0.0000, 0.0000, 0.5000)  0.17
Se (0.5000, 0.0000, 0.0000)  0.32
Br (0.0000, 0.5000, 0.0000)  0.05
Cu (0.5000, 0.5000, 0.5000)  0.05